No. 1
PrThMg: optimized geometry, PBE.

Computed properties:
energy: -13.59 eV/f.u.
total moment: 0.0 μB per cell
polymorph energy (0 for the lowest one): 97 meV per atom
formation energy from the elements: 69 meV/atom

Cell lengths 11.808, 5.515, 6.862 Å; angles 90.00, 124.30, 90.00 degrees
Space group C2/m (No. 12)
Asymmetric unit:
Pr  0.035  0.000  0.280 (multiplicity 4)
Th  0.170  0.500  0.083 (multiplicity 4)
Mg  0.147  0.500  0.577 (multiplicity 4)


No. 2
Zr2Al2Mo: optimized geometry, PBE.

Computed properties:
energy: -36.83 eV/f.u.
total moment: 0.0 μB per cell
formation energy from the elements: -283 meV/atom

Cell lengths 7.046, 7.046, 3.782 Å; angles 90.00, 90.00, 90.00 degrees
Space group P4/mbm (No. 127)
Asymmetric unit:
Zr  0.176  0.324  0.000 (multiplicity 4)
Al  0.128  0.628  0.500 (multiplicity 4)
Mo  0.000  0.000  0.500 (multiplicity 2)


No. 3
Ni5Sb3: optimized geometry, PBE.

Computed properties:
energy: -42.04 eV/f.u.
total moment: 0.0 μB per cell
polymorph energy (0 for the lowest one): 0 meV per atom
formation energy without anion corrections: -95 meV/atom

Cell lengths 7.377, 5.347, 7.382 Å; angles 90.00, 119.94, 90.00 degrees
Space group P2_1/m (No. 11)
Asymmetric unit:
Ni  0.000  0.250  0.135 (multiplicity 2)
Ni  0.333  0.000  0.167 (multiplicity 4)
Ni  0.364  0.250  0.864 (multiplicity 2)
Ni  0.365  0.750  0.500 (multiplicity 2)
Sb  0.000  0.250  0.804 (multiplicity 2)
Sb  0.303  0.250  0.500 (multiplicity 2)
Sb  0.304  0.750  0.804 (multiplicity 2)